Entry 1:
Entry from Alexandria: Pm3Ge6IrPd2 after structural relaxation (PBE).

Unit cell a=5.9719 b=5.9719 c=8.0635 alpha=90.00 beta=90.00 gamma=120.00
Last column: nearest neighbours and their distance in Å.
Fractional coordinates of all 12 atoms:
1 Ge 0.3724 0.1862 0.7140  1 Ir 2.59, 2 Ge 2.64, 1 Pd 2.64
2 Ge 0.8138 0.1862 0.7140  1 Ir 2.59, 2 Ge 2.64, 1 Pd 2.64
3 Ge 0.1862 0.8138 0.2860  1 Ir 2.59, 2 Ge 2.64, 1 Pd 2.64
4 Ge 0.6276 0.8138 0.2860  1 Ir 2.59, 2 Ge 2.64, 1 Pd 2.64
5 Ge 0.1862 0.3724 0.2860  1 Ir 2.59, 2 Ge 2.64, 1 Pd 2.64
6 Ge 0.8138 0.6276 0.7140  1 Ir 2.59, 2 Ge 2.64, 1 Pd 2.64
7 Pd 0.6667 0.3333 0.9818  3 Ge 2.64
8 Pd 0.3333 0.6667 0.0182  3 Ge 2.64
9 Pm 0.6667 0.3333 0.3794  9 Ge 3.09-3.10, 1 Pd 3.21
10 Pm 0.3333 0.6667 0.6206  9 Ge 3.09-3.10, 1 Pd 3.21
11 Pm 0.0000 0.0000 0.0000  6 Ge 3.00
12 Ir 0.0000 0.0000 0.5000  6 Ge 2.59

Calculated values
Formation enthalpy at 0 K in eV per formula unit: -5.4
Crystal system: trigonal



Entry 2:
Entry from Alexandria: TlAgTe2 after structural relaxation (PBE).

Unit cell a=4.8009 b=8.0775 c=6.9079 alpha=93.41 beta=80.82 gamma=82.11
Last column: nearest neighbours and their distance in Å.
Fractional coordinates of all 8 atoms:
1 Tl 0.0946 0.2725 0.5768  7 Te 3.37-3.77, 1 Ag 3.49
2 Tl 0.6114 0.5923 0.3069  6 Te 3.36-3.76, 1 Ag 3.48
3 Ag 0.8980 0.7549 0.8763  4 Te 2.79-3.01, 1 Ag 2.90
4 Ag 0.8075 0.1095 0.0077  4 Te 2.79-3.01, 1 Ag 2.90
5 Te 0.6631 0.9768 0.6248  2 Ag 2.82-3.01, 1 Te 2.86
6 Te 0.2668 0.2991 0.0576  2 Ag 2.79-2.90, 1 Te 2.89
7 Te 0.0428 0.8877 0.2590  2 Ag 2.82-3.01, 1 Te 2.86
8 Te 0.4388 0.5653 0.8262  2 Ag 2.79-2.90, 1 Te 2.89

Calculated values
Crystal system: triclinic



Entry 3:
Entry from Alexandria: LaCuO3 after structural relaxation (PBE).

Unit cell a=3.5795 b=5.5594 c=6.5625 alpha=90.00 beta=90.00 gamma=77.33
Last column: nearest neighbours and their distance in Å.
Fractional coordinates of all 10 atoms:
1 La 0.7500 0.2500 0.1736  6 O 2.43-2.52
2 La 0.2500 0.7500 0.8264  6 O 2.43-2.52
3 O 0.2500 0.2500 0.9185  1 Cu 1.90
4 O 0.6864 0.9856 0.6534  1 Cu 1.90
5 O 0.1864 0.4856 0.3466  1 Cu 1.90
6 O 0.7500 0.7500 0.0815  1 Cu 1.90
7 O 0.8136 0.5144 0.6534  1 Cu 1.90
8 O 0.3136 0.0144 0.3466  1 Cu 1.90
9 Cu 0.2500 0.2500 0.6293  3 O 1.90
10 Cu 0.7500 0.7500 0.3707  3 O 1.90

Calculated values
Crystal system: monoclinic



Entry 4:
Entry from Alexandria: Zr6InAu after structural relaxation (PBE).

Unit cell a=4.4333 b=4.4333 c=8.8528 alpha=90.00 beta=90.00 gamma=90.00
Last column: nearest neighbours and their distance in Å.
Fractional coordinates of all 8 atoms:
1 Au 0.0000 0.0000 0.5000  12 Zr 3.11-3.13
2 Zr 0.0000 0.5000 0.2544  8 Zr 3.11-3.16, 2 Au 3.11, 2 In 3.16
3 Zr 0.5000 0.5000 0.5000  8 Zr 3.11, 4 Au 3.13
4 Zr 0.5000 0.0000 0.2544  2 Au 3.11, 8 Zr 3.11-3.16, 2 In 3.16
5 Zr 0.0000 0.5000 0.7456  8 Zr 3.11-3.16, 2 Au 3.11, 2 In 3.16
6 Zr 0.5000 0.0000 0.7456  2 Au 3.11, 8 Zr 3.11-3.16, 2 In 3.16
7 Zr 0.5000 0.5000 0.0000  4 In 3.13, 8 Zr 3.16
8 In 0.0000 0.0000 0.0000  12 Zr 3.13-3.16

Calculated values
Formation enthalpy at 0 K in eV per formula unit: -2.0
Distance to the lowest polymorph of the same formula in meV/atom: 42
Crystal system: tetragonal



Entry 5:
Entry from Alexandria: SbAs2PbBr after structural relaxation (PBE).

Unit cell a=5.2167 b=6.3857 c=5.2167 alpha=90.00 beta=90.00 gamma=90.00
Last column: nearest neighbours and their distance in Å.
Fractional coordinates of all 5 atoms:
1 Sb 0.0000 0.0000 0.0000  4 As 2.61
2 As 0.5000 0.0000 0.0000  2 Sb 2.61
3 As 0.0000 0.0000 0.5000  2 Sb 2.61
4 Pb 0.0000 0.5000 0.0000  2 Sb 3.19
5 Br 0.5000 0.5000 0.5000  4 Pb 3.69, 8 As 4.12

Calculated values
Distance to the lowest polymorph of the same formula in meV/atom: 134
Crystal system: tetragonal



Entry 6:
Entry from Alexandria: YTl2In after structural relaxation (PBE).

Unit cell a=5.4826 b=3.5692 c=5.7567 alpha=87.72 beta=90.00 gamma=90.00
Last column: nearest neighbours and their distance in Å.
Fractional coordinates of all 4 atoms:
1 Tl 0.0000 0.9600 0.9982  2 In 3.19, 5 Tl 3.21-3.57, 2 Y 3.29
2 Tl 0.0000 0.5400 0.5018  2 In 3.19, 5 Tl 3.21-3.57, 2 Y 3.29
3 Y 0.5000 0.2500 0.2500  4 Tl 3.29, 4 In 3.33-3.45, 2 Y 3.57
4 In 0.5000 0.7500 0.7500  4 Tl 3.19, 4 Y 3.33-3.45, 2 In 3.57

Calculated values
Formation enthalpy at 0 K in eV per formula unit: -0.6
Crystal system: monoclinic



Entry 7:
Entry from Alexandria: TlCdRhCl6 after structural relaxation (PBE).

Unit cell a=6.6163 b=6.6165 c=6.9436 alpha=90.01 beta=90.00 gamma=60.00
Last column: nearest neighbours and their distance in Å.
Fractional coordinates of all 9 atoms:
1 Cl 0.6163 0.0343 0.3015  1 Rh 2.37
2 Cl 0.3494 0.0343 0.6985  1 Rh 2.37
3 Cl 0.6163 0.3494 0.6984  1 Rh 2.37
4 Cl 0.0343 0.6163 0.6984  1 Rh 2.37
5 Cl 0.0343 0.3494 0.3015  1 Rh 2.37
6 Cl 0.3494 0.6163 0.3015  1 Rh 2.37
7 Tl 0.0000 0.0000 0.0000  6 Cl 3.21
8 Cd 0.6666 0.6667 0.5000  6 Cl 2.67
9 Rh 0.3333 0.3333 0.5000  6 Cl 2.37

Calculated values
Crystal system: trigonal



Entry 8:
Entry from Alexandria: DyTc6 after structural relaxation (PBE).

Unit cell a=5.1689 b=8.4785 c=10.7222 alpha=90.00 beta=90.00 gamma=90.00
Last column: nearest neighbours and their distance in Å.
Fractional coordinates of all 28 atoms:
1 Dy 0.7500 0.2334 0.9437  9 Tc 2.92-3.25
2 Dy 0.2500 0.7666 0.0563  9 Tc 2.92-3.25
3 Dy 0.2500 0.2666 0.4437  9 Tc 2.92-3.25
4 Dy 0.7500 0.7334 0.5563  9 Tc 2.92-3.25
5 Tc 0.7500 0.5788 0.0217  5 Tc 2.61-2.68
6 Tc 0.9908 0.5701 0.8051  8 Tc 2.49-2.78
7 Tc 0.5092 0.5701 0.8051  8 Tc 2.49-2.78
8 Tc 0.7500 0.1857 0.2427  8 Tc 2.52-2.80
9 Tc 0.9908 0.0701 0.6949  8 Tc 2.49-2.78
10 Tc 0.0092 0.4299 0.1949  8 Tc 2.49-2.78
11 Tc 0.7500 0.9244 0.0776  1 Tc 2.48
12 Tc 0.7500 0.4244 0.4224  1 Tc 2.48
13 Tc 0.4908 0.4299 0.1949  8 Tc 2.49-2.78
14 Tc 0.7500 0.8601 0.8521  3 Tc 2.48-2.75
15 Tc 0.5092 0.0701 0.6949  8 Tc 2.49-2.78
16 Tc 0.2500 0.1399 0.1479  3 Tc 2.48-2.75
17 Tc 0.7500 0.0788 0.4782  5 Tc 2.61-2.68
18 Tc 0.7500 0.6857 0.2573  8 Tc 2.52-2.80
19 Tc 0.2500 0.6399 0.3521  3 Tc 2.48-2.75
20 Tc 0.2500 0.9212 0.5218  5 Tc 2.61-2.68
21 Tc 0.7500 0.3601 0.6479  3 Tc 2.48-2.75
22 Tc 0.2500 0.5756 0.5776  1 Tc 2.48
23 Tc 0.0092 0.9299 0.3051  8 Tc 2.49-2.78
24 Tc 0.4908 0.9299 0.3051  8 Tc 2.49-2.78
25 Tc 0.2500 0.3143 0.7427  8 Tc 2.52-2.80
26 Tc 0.2500 0.0756 0.9224  1 Tc 2.48
27 Tc 0.2500 0.4212 0.9782  5 Tc 2.61-2.68
28 Tc 0.2500 0.8143 0.7573  8 Tc 2.52-2.80

Calculated values
Formation enthalpy at 0 K in eV per formula unit: 0.1
Distance to the lowest polymorph of the same formula in meV/atom: 0
Crystal system: orthorhombic



Entry 9:
Entry from Alexandria: SmTmCdTc after structural relaxation (PBE).

Unit cell a=5.0584 b=5.0584 c=5.0584 alpha=60.00 beta=60.00 gamma=60.00
Last column: nearest neighbours and their distance in Å.
Fractional coordinates of all 4 atoms:
1 Tc 0.2500 0.2500 0.2500  4 Tm 3.10, 4 Sm 3.10
2 Sm 0.5000 0.5000 0.5000  4 Tc 3.10, 4 Cd 3.10
3 Tm 0.0000 0.0000 0.0000  4 Cd 3.10, 4 Tc 3.10
4 Cd 0.7500 0.7500 0.7500  4 Tm 3.10, 4 Sm 3.10

Calculated values
Formation enthalpy at 0 K in eV per formula unit: -0.3
Crystal system: cubic



Entry 10:
Entry from Alexandria: ZnAgBr2 after structural relaxation (PBE).

Unit cell a=4.2189 b=4.2189 c=7.7956 alpha=90.00 beta=90.00 gamma=124.75
Last column: nearest neighbours and their distance in Å.
Fractional coordinates of all 4 atoms:
1 Ag 0.5000 0.5000 0.7500  4 Br 2.77
2 Zn 0.5000 0.5000 0.2500  4 Br 2.75
3 Br 0.0000 0.0000 0.4986  2 Zn 2.75, 2 Ag 2.77
4 Br 0.0000 0.0000 0.0014  2 Zn 2.75, 2 Ag 2.77

Calculated values
Distance to the lowest polymorph of the same formula in meV/atom: 90
Crystal system: orthorhombic



Entry 11:
Entry from Alexandria: HoBF6 after structural relaxation (PBE).

Unit cell a=5.0592 b=5.0598 c=5.2794 alpha=61.38 beta=61.37 gamma=60.00
Last column: nearest neighbours and their distance in Å.
Fractional coordinates of all 8 atoms:
1 F 0.6842 0.2069 0.2142  1 B 1.63
2 F 0.2067 0.8944 0.2143  1 B 1.63
3 F 0.3158 0.7931 0.7858  1 B 1.63
4 F 0.7933 0.1056 0.7857  1 B 1.63
5 F 0.8945 0.6844 0.2138  1 B 1.63
6 F 0.1055 0.3156 0.7862  1 B 1.63
7 B 0.0000 0.0000 0.0000  6 F 1.63
8 Ho 0.5000 0.5000 0.5000  6 F 2.18

Calculated values
Crystal system: trigonal



Entry 12:
Entry from Alexandria: TaGaGe2W after structural relaxation (PBE).

Unit cell a=4.5513 b=4.9262 c=4.5513 alpha=90.00 beta=90.00 gamma=90.00
Last column: nearest neighbours and their distance in Å.
Fractional coordinates of all 5 atoms:
1 Ga 0.0000 0.0000 0.0000  4 Ge 2.28, 2 Ta 2.46
2 Ge 0.5000 0.0000 0.0000  2 Ga 2.28
3 Ge 0.0000 0.0000 0.5000  2 Ga 2.28
4 W 0.5000 0.5000 0.5000  4 Ta 3.22, 8 Ge 3.35
5 Ta 0.0000 0.5000 0.0000  2 Ga 2.46

Calculated values
Formation enthalpy at 0 K in eV per formula unit: 8.3
Crystal system: tetragonal



In the order shown, the computed V values come out to 249, 261, 127, 174, 174, 113, 263, 470, 92, 114, 97, 102 Å³ per cell.
In the order shown, the computed total energy values come out to -66.6, -24.1, -64.8, -59.3, -16.1, -14.5, -29.5, -267.0, -20.7, -8.1, -47.3, -28.8 eV/cell.